# 1
Density functional theory data (PBE-GGA) for a geometry-optimized La3Sm3Au4 structure.

Lattice parameters (Å, degrees): 3.961 8.452 8.452 89.35 90.00 90.00
Element x y z (fractional)
La: 0.500 0.838 0.162
La: 0.500 0.331 0.338
La: 0.500 0.662 0.669
Sm: 0.000 0.497 0.003
Sm: 0.000 0.997 0.503
Sm: 0.500 0.168 0.832
Au: 0.000 0.629 0.371
Au: 0.000 0.366 0.634
Au: 0.000 0.877 0.866
Au: 0.000 0.134 0.123

Computed properties:
* electronic total energy: -4.861 eV/atom
* ΔE_f: -6.6 eV/f.u.
* magnetization: 0.0 μB/cell

=====

# 2
Density functional theory data (PBE-GGA) for a geometry-optimized LaSm2Au structure.

Lattice parameters (Å, degrees): 3.717 3.717 8.689 90.00 90.00 90.00
Element x y z (fractional)
Au: 0.500 0.500 0.000
Sm: 0.000 0.000 0.797
Sm: 0.000 0.000 0.203
La: 0.500 0.500 0.500

Computed properties:
* electronic total energy: -4.786 eV/atom
* relative energy among the computed polymorphs: 30 meV per atom
* ΔE_f: -1.5 eV/f.u.
* magnetization: 0.0 μB/cell